Entry 1:
Compound: VFeCo2P
Source: the Alexandria database
Functional: PBE-GGA
Structure: relaxed

a b c (Å): 4.058 4.058 4.121
angles (deg): 90.00 90.00 90.00
Space group P4/mmm (No. 123)
Symmetry-distinct sites (fractional):
1 V 0.000 0.000 0.000 x1
2 Fe 0.500 0.500 0.000 x1
3 Co 0.000 0.500 0.500 x2
4 P 0.500 0.500 0.500 x1

Output
**DOS at the Fermi energy**: 6.87 states/eV per cell
**DFT total energy**: -35.31 eV/cell
**Density**: 6.25 g/cm³

---

Entry 2:
Compound: Sr2CuHgPt
Source: the Alexandria database
Functional: PBE-GGA
Structure: relaxed

a b c (Å): 5.790 5.790 4.832
angles (deg): 90.00 90.00 90.00
Space group P4/mmm (No. 123)
Symmetry-distinct sites (fractional):
1 Sr 0.000 0.500 0.000 x2
2 Cu 0.000 0.000 0.500 x1
3 Hg 0.500 0.500 0.500 x1
4 Pt 0.000 0.000 0.000 x1

Output
**DOS at the Fermi energy**: 2.02 states/eV per cell
**DFT total energy**: -15.42 eV/cell
**Density**: 6.50 g/cm³

---

Entry 3:
Compound: MgCd2ClO
Source: the Alexandria database
Functional: PBE-GGA
Structure: relaxed

a b c (Å): 5.840 5.840 3.670
angles (deg): 90.00 90.00 90.00
Space group P4/mmm (No. 123)
Symmetry-distinct sites (fractional):
1 Mg 0.000 0.000 0.000 x1
2 Cd 0.000 0.500 0.000 x2
3 Cl 0.500 0.500 0.500 x1
4 O 0.000 0.000 0.500 x1

Output
**DOS at the Fermi energy**: 5.74 states/eV per cell
**Formation energy without anion corrections**: -0.465 eV per atom
**Density**: 3.99 g/cm³

---

Entry 4:
Compound: Gd2MnGe
Source: the Alexandria database
Functional: PBE-GGA
Structure: relaxed

a b c (Å): 4.779 4.779 3.957
angles (deg): 90.00 90.00 90.00
Space group P4/mmm (No. 123)
Symmetry-distinct sites (fractional):
1 Gd 0.000 0.500 0.000 x2
2 Mn 0.000 0.000 0.500 x1
3 Ge 0.500 0.500 0.500 x1

Output
**DOS at the Fermi energy**: 4.67 states/eV per cell
**DFT total energy**: -42.74 eV/cell
**Density**: 8.12 g/cm³

---

Entry 5:
Compound: CuAgRu
Source: the Alexandria database
Functional: PBE-GGA
Structure: relaxed

a b c (Å): 2.854 4.514 13.840
angles (deg): 90.00 90.00 90.00
Space group Fmm2 (No. 42)
Symmetry-distinct sites (fractional):
1 Cu 0.000 0.000 0.000 x4
2 Ag 0.000 0.000 0.666 x4
3 Ru 0.000 0.000 0.345 x4

Output
**DOS at the Fermi energy**: 13.57 states/eV per cell
**DFT total energy**: -59.96 eV/cell
**Density**: 10.15 g/cm³

---

Entry 6:
Compound: Re5Si
Source: the Alexandria database
Functional: PBE-GGA
Structure: relaxed

a b c (Å): 10.722 2.891 5.862
angles (deg): 90.00 104.14 90.00
Space group Cm (No. 8)
Symmetry-distinct sites (fractional):
1 Re 0.000 0.000 0.000 x2
2 Re 0.034 0.000 0.576 x2
3 Re 0.158 0.500 0.341 x2
4 Re 0.214 0.500 0.898 x2
5 Re 0.363 0.000 0.268 x2
6 Si 0.339 0.000 0.681 x2

Output
**DOS at the Fermi energy**: 10.66 states/eV per cell
**Formation energy without anion corrections**: 0.005 eV per atom
**Density**: 18.08 g/cm³